Record 1
{"formula": "ZnSnSbO6", "functional": "PBE", "state": "optimized geometry", "lattice_angstrom": [[5.367, 0.000, 0.000], [-2.683, 4.648, 0.000], [0.000, 0.000, 8.831]], "species": ["Zn", "Zn", "Sn", "Sn", "Sb", "Sb", "O", "O", "O", "O", "O", "O", "O", "O", "O", "O", "O", "O"], "fractional_positions": [[0.000, 0.000, 0.000], [0.000, 0.000, 0.500], [0.333, 0.667, 0.250], [0.667, 0.333, 0.750], [0.333, 0.667, 0.750], [0.667, 0.333, 0.250], [0.011, 0.352, 0.628], [0.011, 0.659, 0.872], [0.341, 0.352, 0.872], [0.341, 0.989, 0.628], [0.352, 0.011, 0.128], [0.352, 0.341, 0.372], [0.648, 0.659, 0.628], [0.648, 0.989, 0.872], [0.659, 0.011, 0.372], [0.659, 0.648, 0.128], [0.989, 0.341, 0.128], [0.989, 0.648, 0.372]], "magmom_total_mub_per_atom": 0.114, "space_group": "No. 163", "dft_energy_ev_per_atom": -5.58, "raw_formation_energy_ev_per_atom": -1.23}

=====

Record 2
{"formula": "SrSb3O", "functional": "PBE", "state": "optimized geometry", "lattice_angstrom": [[6.032, 0.000, 0.000], [0.000, 6.032, 0.000], [0.000, 0.000, 6.032]], "species": ["Sr", "Sb", "Sb", "Sb", "O"], "fractional_positions": [[0.000, 0.000, 0.000], [0.000, 0.000, 0.500], [0.000, 0.500, 0.000], [0.500, 0.000, 0.000], [0.500, 0.500, 0.500]], "magmom_total_mub_per_atom": 0.000, "space_group": "No. 221", "dft_energy_ev_per_atom": -2.42, "raw_formation_energy_ev_per_atom": 1.38, "polymorph_energy_mev_per_atom": 1900}

=====

Record 3
{"formula": "Sr12Sb3O5", "functional": "PBE", "state": "optimized geometry", "lattice_angstrom": [[-8.501, 8.501, 8.501], [8.501, -8.501, 8.501], [8.501, 8.501, -8.501]], "species": ["Sr", "Sr", "Sr", "Sr", "Sr", "Sr", "Sr", "Sr", "Sr", "Sr", "Sr", "Sr", "Sr", "Sr", "Sr", "Sr", "Sr", "Sr", "Sr", "Sr", "Sr", "Sr", "Sr", "Sr", "Sr", "Sr", "Sr", "Sr", "Sr", "Sr", "Sr", "Sr", "Sr", "Sr", "Sr", "Sr", "Sr", "Sr", "Sr", "Sr", "Sr", "Sr", "Sr", "Sr", "Sr", "Sr", "Sr", "Sr", "Sb", "Sb", "Sb", "Sb", "Sb", "Sb", "Sb", "Sb", "Sb", "Sb", "Sb", "Sb", "O", "O", "O", "O", "O", "O", "O", "O", "O", "O", "O", "O", "O", "O", "O", "O", "O", "O", "O", "O"], "fractional_positions": [[0.011, 0.198, 0.114], [0.011, 0.313, 0.897], [0.084, 0.698, 0.687], [0.084, 0.886, 0.397], [0.103, 0.614, 0.416], [0.103, 0.989, 0.687], [0.114, 0.011, 0.198], [0.114, 0.603, 0.916], [0.187, 0.198, 0.584], [0.187, 0.489, 0.603], [0.198, 0.114, 0.011], [0.198, 0.584, 0.187], [0.302, 0.313, 0.916], [0.302, 0.489, 0.386], [0.313, 0.897, 0.011], [0.313, 0.916, 0.302], [0.386, 0.302, 0.489], [0.386, 0.584, 0.897], [0.397, 0.084, 0.886], [0.397, 0.813, 0.511], [0.416, 0.103, 0.614], [0.416, 0.813, 0.802], [0.489, 0.386, 0.302], [0.489, 0.603, 0.187], [0.511, 0.397, 0.813], [0.511, 0.614, 0.698], [0.584, 0.187, 0.198], [0.584, 0.897, 0.386], [0.603, 0.187, 0.489], [0.603, 0.916, 0.114], [0.614, 0.416, 0.103], [0.614, 0.698, 0.511], [0.687, 0.084, 0.698], [0.687, 0.103, 0.989], [0.698, 0.511, 0.614], [0.698, 0.687, 0.084], [0.802, 0.416, 0.813], [0.802, 0.886, 0.989], [0.813, 0.511, 0.397], [0.813, 0.802, 0.416], [0.886, 0.397, 0.084], [0.886, 0.989, 0.802], [0.897, 0.011, 0.313], [0.897, 0.386, 0.584], [0.916, 0.114, 0.603], [0.916, 0.302, 0.313], [0.989, 0.687, 0.103], [0.989, 0.802, 0.886], [0.125, 0.250, 0.375], [0.125, 0.375, 0.750], [0.250, 0.375, 0.125], [0.250, 0.875, 0.625], [0.375, 0.125, 0.250], [0.375, 0.750, 0.125], [0.625, 0.250, 0.875], [0.625, 0.875, 0.750], [0.750, 0.125, 0.375], [0.750, 0.625, 0.875], [0.875, 0.625, 0.250], [0.875, 0.750, 0.625], [0.000, 0.000, 0.000], [0.000, 0.000, 0.500], [0.000, 0.500, 0.000], [0.000, 0.500, 0.500], [0.125, 0.750, 0.875], [0.125, 0.875, 0.250], [0.250, 0.125, 0.875], [0.250, 0.625, 0.375], [0.375, 0.250, 0.625], [0.375, 0.625, 0.750], [0.500, 0.000, 0.000], [0.500, 0.000, 0.500], [0.500, 0.500, 0.000], [0.500, 0.500, 0.500], [0.625, 0.375, 0.250], [0.625, 0.750, 0.375], [0.750, 0.375, 0.625], [0.750, 0.875, 0.125], [0.875, 0.125, 0.750], [0.875, 0.250, 0.125]], "magmom_total_mub_per_atom": 0.180, "space_group": "No. 230", "dft_energy_ev_per_atom": -4.47, "raw_formation_energy_ev_per_atom": -1.60}